No. 1
EuTmTlCd | Alexandria via LeMat-Bulk | GGA-PBE | relaxed; energy relative to the elements = -32.2 kJ/mol of atoms; N(E_F) = 7.187 states/eV/f.u.; calculated total energy = -77.45 eV/cell; space-group type = F-43m (216)
1.0
7.6692 0.0000 0.0000
0.0000 7.6692 0.0000
0.0000 0.0000 7.6692
Eu Tm Tl Cd
4 4 4 4
direct
0.0000 0.0000 0.0000 Eu
0.0000 0.5000 0.5000 Eu
0.5000 0.0000 0.5000 Eu
0.5000 0.5000 0.0000 Eu
0.0000 0.0000 0.5000 Tm
0.0000 0.5000 0.0000 Tm
0.5000 0.0000 0.0000 Tm
0.5000 0.5000 0.5000 Tm
0.2500 0.2500 0.7500 Tl
0.2500 0.7500 0.2500 Tl
0.7500 0.2500 0.2500 Tl
0.7500 0.7500 0.7500 Tl
0.2500 0.2500 0.2500 Cd
0.2500 0.7500 0.7500 Cd
0.7500 0.2500 0.7500 Cd
0.7500 0.7500 0.2500 Cd

No. 2
EuTlZnCd | Alexandria via LeMat-Bulk | GGA-PBE | relaxed; energy relative to the elements = -20.8 kJ/mol of atoms; N(E_F) = 2.311 states/eV/f.u.; calculated total energy = -62.77 eV/cell; space-group type = F-43m (216)
1.0
7.3381 0.0000 0.0000
0.0000 7.3381 0.0000
0.0000 0.0000 7.3381
Eu Tl Zn Cd
4 4 4 4
direct
0.0000 0.0000 0.0000 Eu
0.0000 0.5000 0.5000 Eu
0.5000 0.0000 0.5000 Eu
0.5000 0.5000 0.0000 Eu
0.2500 0.2500 0.2500 Tl
0.2500 0.7500 0.7500 Tl
0.7500 0.2500 0.7500 Tl
0.7500 0.7500 0.2500 Tl
0.2500 0.2500 0.7500 Zn
0.2500 0.7500 0.2500 Zn
0.7500 0.2500 0.2500 Zn
0.7500 0.7500 0.7500 Zn
0.0000 0.0000 0.5000 Cd
0.0000 0.5000 0.0000 Cd
0.5000 0.0000 0.0000 Cd
0.5000 0.5000 0.5000 Cd

No. 3
EuTm2Cd | Alexandria via LeMat-Bulk | GGA-PBE | relaxed; energy relative to the elements = 2.4 kJ/mol of atoms; N(E_F) = 4.086 states/eV/f.u.; calculated total energy = -80.14 eV/cell; space-group type = Fm-3m (225)
1.0
7.7176 0.0000 0.0000
0.0000 7.7176 0.0000
0.0000 0.0000 7.7176
Eu Tm Cd
4 8 4
direct
0.0000 0.0000 0.0000 Eu
0.0000 0.5000 0.5000 Eu
0.5000 0.0000 0.5000 Eu
0.5000 0.5000 0.0000 Eu
0.2500 0.2500 0.2500 Tm
0.2500 0.2500 0.7500 Tm
0.2500 0.7500 0.2500 Tm
0.2500 0.7500 0.7500 Tm
0.7500 0.2500 0.2500 Tm
0.7500 0.2500 0.7500 Tm
0.7500 0.7500 0.2500 Tm
0.7500 0.7500 0.7500 Tm
0.0000 0.0000 0.5000 Cd
0.0000 0.5000 0.0000 Cd
0.5000 0.0000 0.0000 Cd
0.5000 0.5000 0.5000 Cd